SrNb2CrN4 | PBE | optimized geometry

```
SrNb2CrN4
1.0
1.611 -5.525 0.000
1.611 5.525 0.000
0.000 0.000 10.951
Sr Nb Cr N
2 4 2 8
Direct
0.102 0.898 0.750 Sr
0.898 0.102 0.250 Sr
0.370 0.630 0.542 Nb
0.370 0.630 0.958 Nb
0.630 0.370 0.042 Nb
0.630 0.370 0.458 Nb
0.164 0.836 0.250 Cr
0.836 0.164 0.750 Cr
0.000 0.000 0.000 N
0.000 0.000 0.500 N
0.266 0.734 0.114 N
0.266 0.734 0.386 N
0.421 0.579 0.750 N
0.579 0.421 0.250 N
0.734 0.266 0.614 N
0.734 0.266 0.886 N
```

Values from the calculation:
* DFT total energy: -143.58 eV per cell
* Fermi-level density of states: 7.61 states/eV/cell
* formation energy (no corrections): -7.04 eV/f.u.


Sr2NbCrN5 | PBE | optimized geometry

```
Sr2NbCrN5
1.0
1.646 -7.329 0.000
1.646 7.329 0.000
0.000 0.000 10.951
Sr Nb Cr N
4 2 2 10
Direct
0.117 0.883 0.500 Sr
0.137 0.863 0.160 Sr
0.863 0.137 0.660 Sr
0.883 0.117 0.000 Sr
0.204 0.796 0.867 Nb
0.796 0.204 0.367 Nb
0.444 0.556 0.252 Cr
0.556 0.444 0.752 Cr
0.036 0.964 0.826 N
0.302 0.698 0.477 N
0.329 0.671 0.214 N
0.330 0.670 0.834 N
0.498 0.502 0.120 N
0.502 0.498 0.620 N
0.670 0.330 0.334 N
0.671 0.329 0.714 N
0.698 0.302 0.977 N
0.964 0.036 0.326 N
```

Values from the calculation:
* DFT total energy: -143.49 eV per cell
* formation energy (no corrections): -7.06 eV/f.u.


Tb2NbCrN5 | PBE | optimized geometry

```
Tb2NbCrN5
1.0
1.622 -6.601 0.000
1.622 6.601 0.000
0.000 0.000 10.075
Tb Nb Cr N
4 2 2 10
Direct
0.111 0.889 0.500 Tb
0.142 0.858 0.105 Tb
0.858 0.142 0.605 Tb
0.889 0.111 0.000 Tb
0.217 0.783 0.816 Nb
0.783 0.217 0.316 Nb
0.476 0.524 0.263 Cr
0.524 0.476 0.763 Cr
0.041 0.959 0.844 N
0.287 0.713 0.458 N
0.320 0.680 0.179 N
0.366 0.634 0.805 N
0.492 0.508 0.593 N
0.508 0.492 0.093 N
0.634 0.366 0.305 N
0.680 0.320 0.679 N
0.713 0.287 0.958 N
0.959 0.041 0.344 N
```

Values from the calculation:
* DFT total energy: -161.24 eV per cell
* Fermi-level density of states: 4.88 states/eV/cell
* formation energy (no corrections): -10.04 eV/f.u.


Look up the formation energy (no corrections) of the third one.
-10.04 eV/f.u.


Among the records above, which one has the lowest DFT total energy?
Tb2NbCrN5


Look up the formation energy (no corrections) of the first one.
-7.04 eV/f.u.